DFT (PBE-GGA) results for an optimized crystal structure of CsCu2Ir.

Summary:
Its space-group type is No. 225. Its crystal system is cubic. Its density is 9.67 g cm⁻³. Its density of states at the Fermi level is 0.11 states/eV/f.u. The formation enthalpy at 0 K is 121.6 kJ/mol of atoms. As for the spin magnetization: 0.00 Bohr magnetons per cell. For the total energy, the calculation gives -3.2159 eV per atom.

abc: 4.789 4.789 4.789
angles: 60.00 60.00 60.00
Fractional positions:
Cs (0.000, 0.000, 0.000)
Cu (0.250, 0.250, 0.250)
Cu (0.750, 0.750, 0.750)
Ir (0.500, 0.500, 0.500)

DFT (PBE-GGA) results for an optimized crystal structure of CsCuIr3.

Summary:
Its space-group type is No. 221. Its crystal system is cubic. Its density is 10.47 g cm⁻³. Its polymorph energy (0 for the lowest one) is 1545 meV per atom. Its density of states at the Fermi level is 5.88 states/eV/f.u. The formation enthalpy at 0 K is 314.8 kJ/mol of atoms. As for the spin magnetization: 0.94 Bohr magnetons per cell. For the total energy, the calculation gives -3.0441 eV per atom.

abc: 4.968 4.968 4.968
angles: 90.00 90.00 90.00
Fractional positions:
Cs (0.000, 0.000, 0.000)
Cu (0.500, 0.500, 0.500)
Ir (0.000, 0.000, 0.500)
Ir (0.000, 0.500, 0.000)
Ir (0.500, 0.000, 0.000)

DFT (PBE-GGA) results for an optimized crystal structure of Cs2CuIrS4.

Summary:
Its space-group type is No. 70. Its crystal system is orthorhombic. Its density is 4.28 g cm⁻³. Its density of states at the Fermi level is 2.05 states/eV/f.u. The calculation puts the formation energy (no corrections) at -583 meV per atom. As for the spin magnetization: 0.00 Bohr magnetons per cell. For the total energy, the calculation gives -4.4800 eV per atom.

abc: 14.020 12.590 7.493
angles: 84.50 63.36 32.14
Fractional positions:
Cs (0.054, 0.054, 0.696)
Cs (0.304, 0.304, 0.946)
Cs (0.696, 0.696, 0.054)
Cs (0.946, 0.946, 0.304)
Cu (0.375, 0.375, 0.375)
Cu (0.625, 0.625, 0.625)
Ir (0.125, 0.125, 0.125)
Ir (0.875, 0.875, 0.875)
S (0.019, 0.330, 0.405)
S (0.254, 0.595, 0.670)
S (0.330, 0.019, 0.746)
S (0.405, 0.746, 0.019)
S (0.595, 0.254, 0.981)
S (0.670, 0.981, 0.254)
S (0.746, 0.405, 0.330)
S (0.981, 0.670, 0.595)

DFT (PBE-GGA) results for an optimized crystal structure of CsCuIrSe3.

Summary:
Its space-group type is No. 11. Its crystal system is monoclinic. Its density is 6.58 g cm⁻³. Its density of states at the Fermi level is 2.42 states/eV/f.u. The calculation puts the formation energy (no corrections) at -507 meV per atom. As for the spin magnetization: 0.00 Bohr magnetons per cell. For the total energy, the calculation gives -4.5507 eV per atom.

abc: 8.885 3.940 9.976
angles: 90.00 115.29 90.00
Fractional positions:
Cs (0.237, 0.250, 0.261)
Cs (0.763, 0.750, 0.739)
Cu (0.073, 0.250, 0.588)
Cu (0.927, 0.750, 0.412)
Ir (0.322, 0.750, 0.851)
Ir (0.678, 0.250, 0.149)
Se (0.139, 0.250, 0.852)
Se (0.228, 0.750, 0.570)
Se (0.488, 0.750, 0.127)
Se (0.512, 0.250, 0.873)
Se (0.772, 0.250, 0.430)
Se (0.861, 0.750, 0.148)

DFT (PBE-GGA) results for an optimized crystal structure of Cs3KCu.

Summary:
Its space-group type is No. 221. Its crystal system is cubic. Its density is 1.46 g cm⁻³. Its polymorph energy (0 for the lowest one) is 407 meV per atom. Its density of states at the Fermi level is 6.64 states/eV/f.u. The formation enthalpy at 0 K is 57.8 kJ/mol of atoms. As for the spin magnetization: 0.00 Bohr magnetons per cell. For the total energy, the calculation gives -0.9516 eV per atom.

abc: 8.285 8.285 8.285
angles: 90.00 90.00 90.00
Fractional positions:
Cs (0.000, 0.000, 0.500)
Cs (0.000, 0.500, 0.000)
Cs (0.500, 0.000, 0.000)
K (0.000, 0.000, 0.000)
Cu (0.500, 0.500, 0.500)

DFT (PBE-GGA) results for an optimized crystal structure of CsKCu3.

Summary:
Its space-group type is No. 221. Its crystal system is cubic. Its density is 2.58 g cm⁻³. Its polymorph energy (0 for the lowest one) is 198 meV per atom. Its density of states at the Fermi level is 11.14 states/eV/f.u. The formation enthalpy at 0 K is 118.4 kJ/mol of atoms. As for the spin magnetization: 0.00 Bohr magnetons per cell. For the total energy, the calculation gives -1.6208 eV per atom.

abc: 6.153 6.153 6.153
angles: 90.00 90.00 90.00
Fractional positions:
Cs (0.000, 0.000, 0.000)
K (0.500, 0.500, 0.500)
Cu (0.000, 0.000, 0.500)
Cu (0.000, 0.500, 0.000)
Cu (0.500, 0.000, 0.000)

DFT (PBE-GGA) results for an optimized crystal structure of CsKCu2.

Summary:
Its space-group type is No. 225. Its crystal system is cubic. Its density is 3.38 g cm⁻³. Its density of states at the Fermi level is 0.18 states/eV/f.u. The formation enthalpy at 0 K is 47.7 kJ/mol of atoms. As for the spin magnetization: 0.00 Bohr magnetons per cell. For the total energy, the calculation gives -2.0419 eV per atom.

abc: 5.923 5.923 5.923
angles: 60.00 60.00 60.00
Fractional positions:
Cs (0.000, 0.000, 0.000)
K (0.500, 0.500, 0.500)
Cu (0.250, 0.250, 0.250)
Cu (0.750, 0.750, 0.750)

DFT (PBE-GGA) results for an optimized crystal structure of Cs2KCu.

Summary:
Its space-group type is No. 225. Its crystal system is cubic. Its density is 2.62 g cm⁻³. Its polymorph energy (0 for the lowest one) is 80 meV per atom. Its density of states at the Fermi level is 0.89 states/eV/f.u. The formation enthalpy at 0 K is 33.9 kJ/mol of atoms. As for the spin magnetization: 0.00 Bohr magnetons per cell. For the total energy, the calculation gives -1.3733 eV per atom.

abc: 6.909 6.909 6.909
angles: 60.00 60.00 60.00
Fractional positions:
Cs (0.250, 0.250, 0.250)
Cs (0.750, 0.750, 0.750)
K (0.000, 0.000, 0.000)
Cu (0.500, 0.500, 0.500)

DFT (PBE-GGA) results for an optimized crystal structure of Cs2K2Cu.

Summary:
Its space-group type is No. 127. Its crystal system is tetragonal. Its density is 2.00 g cm⁻³. Its polymorph energy (0 for the lowest one) is 0 meV per atom. Its density of states at the Fermi level is 3.78 states/eV/f.u. The formation enthalpy at 0 K is 26.7 kJ/mol of atoms. As for the spin magnetization: 0.00 Bohr magnetons per cell. For the total energy, the calculation gives -1.3228 eV per atom.

abc: 9.313 9.313 7.786
angles: 90.00 90.00 90.00
Fractional positions:
Cs (0.187, 0.313, 0.000)
Cs (0.313, 0.813, 0.000)
Cs (0.687, 0.187, 0.000)
Cs (0.813, 0.687, 0.000)
K (0.167, 0.667, 0.500)
K (0.333, 0.167, 0.500)
K (0.667, 0.833, 0.500)
K (0.833, 0.333, 0.500)
Cu (0.000, 0.000, 0.500)
Cu (0.500, 0.500, 0.500)

DFT (PBE-GGA) results for an optimized crystal structure of Cs2K2Cu.

Summary:
Its space-group type is No. 127. Its crystal system is tetragonal. Its density is 1.80 g cm⁻³. Its polymorph energy (0 for the lowest one) is 24 meV per atom. Its density of states at the Fermi level is 5.04 states/eV/f.u. The formation enthalpy at 0 K is 29.1 kJ/mol of atoms. As for the spin magnetization: 0.00 Bohr magnetons per cell. For the total energy, the calculation gives -1.2984 eV per atom.

abc: 9.525 9.525 8.277
angles: 90.00 90.00 90.00
Fractional positions:
Cs (0.173, 0.327, 0.000)
Cs (0.327, 0.827, 0.000)
Cs (0.673, 0.173, 0.000)
Cs (0.827, 0.673, 0.000)
K (0.171, 0.671, 0.500)
K (0.329, 0.171, 0.500)
K (0.671, 0.829, 0.500)
K (0.829, 0.329, 0.500)
Cu (0.000, 0.000, 0.000)
Cu (0.500, 0.500, 0.000)

DFT (PBE-GGA) results for an optimized crystal structure of Cs2KCu.

Summary:
Its space-group type is No. 122. Its crystal system is tetragonal. Its density is 2.11 g cm⁻³. Its polymorph energy (0 for the lowest one) is 0 meV per atom. Its density of states at the Fermi level is 1.62 states/eV/f.u. The formation enthalpy at 0 K is 26.2 kJ/mol of atoms. As for the spin magnetization: 0.00 Bohr magnetons per cell. For the total energy, the calculation gives -1.4538 eV per atom.

abc: 9.835 9.835 9.835
angles: 96.88 96.88 139.50
Fractional positions:
Cs (0.375, 0.018, 0.143)
Cs (0.768, 0.625, 0.643)
Cs (0.875, 0.232, 0.857)
Cs (0.982, 0.125, 0.357)
K (0.250, 0.750, 0.500)
K (0.500, 0.500, 0.000)
Cu (0.000, 0.000, 0.000)
Cu (0.750, 0.250, 0.500)

DFT (PBE-GGA) results for an optimized crystal structure of Cs3KCu.

Summary:
Its space-group type is No. 221. Its crystal system is cubic. Its density is 2.11 g cm⁻³. Its polymorph energy (0 for the lowest one) is 0 meV per atom. Its density of states at the Fermi level is 10.39 states/eV/f.u. The formation enthalpy at 0 K is 18.6 kJ/mol of atoms. As for the spin magnetization: 0.00 Bohr magnetons per cell. For the total energy, the calculation gives -1.3584 eV per atom.

abc: 7.330 7.330 7.330
angles: 90.00 90.00 90.00
Fractional positions:
Cs (0.000, 0.000, 0.500)
Cs (0.000, 0.500, 0.000)
Cs (0.500, 0.000, 0.000)
K (0.500, 0.500, 0.500)
Cu (0.000, 0.000, 0.000)

DFT (PBE-GGA) results for an optimized crystal structure of CsK2Cu.

Summary:
Its space-group type is No. 225. Its crystal system is cubic. Its density is 2.29 g cm⁻³. Its density of states at the Fermi level is 2.35 states/eV/f.u. The formation enthalpy at 0 K is 36.4 kJ/mol of atoms. As for the spin magnetization: 0.00 Bohr magnetons per cell. For the total energy, the calculation gives -1.4085 eV per atom.

abc: 6.557 6.557 6.557
angles: 60.00 60.00 60.00
Fractional positions:
Cs (0.000, 0.000, 0.000)
K (0.250, 0.250, 0.250)
K (0.750, 0.750, 0.750)
Cu (0.500, 0.500, 0.500)

DFT (PBE-GGA) results for an optimized crystal structure of CsKCu3.

Summary:
Its space-group type is No. 221. Its crystal system is cubic. Its density is 2.87 g cm⁻³. Its polymorph energy (0 for the lowest one) is 0 meV per atom. Its density of states at the Fermi level is 3.72 states/eV/f.u. The formation enthalpy at 0 K is 99.3 kJ/mol of atoms. As for the spin magnetization: 0.00 Bohr magnetons per cell. For the total energy, the calculation gives -1.8184 eV per atom.

abc: 5.942 5.942 5.942
angles: 90.00 90.00 90.00
Fractional positions:
Cs (0.000, 0.000, 0.000)
K (0.500, 0.500, 0.500)
Cu (0.000, 0.500, 0.500)
Cu (0.500, 0.000, 0.500)
Cu (0.500, 0.500, 0.000)

DFT (PBE-GGA) results for an optimized crystal structure of CsK2NaCu.

Summary:
Its space-group type is No. 123. Its crystal system is tetragonal. Its density is 1.65 g cm⁻³. Its polymorph energy (0 for the lowest one) is 9 meV per atom. Its density of states at the Fermi level is 4.20 states/eV/f.u. The formation enthalpy at 0 K is 21.6 kJ/mol of atoms. As for the spin magnetization: 0.00 Bohr magnetons per cell. For the total energy, the calculation gives -1.4692 eV per atom.

abc: 6.543 6.543 7.013
angles: 90.00 90.00 90.00
Fractional positions:
Cs (0.000, 0.000, 0.000)
K (0.000, 0.500, 0.500)
K (0.500, 0.000, 0.500)
Na (0.500, 0.500, 0.000)
Cu (0.000, 0.000, 0.500)

DFT (PBE-GGA) results for an optimized crystal structure of Cs2KNaCu.

Summary:
Its space-group type is No. 123. Its crystal system is tetragonal. Its density is 2.08 g cm⁻³. Its density of states at the Fermi level is 4.16 states/eV/f.u. The formation enthalpy at 0 K is 20.6 kJ/mol of atoms. As for the spin magnetization: 0.10 Bohr magnetons per cell. For the total energy, the calculation gives -1.4308 eV per atom.

abc: 7.208 7.208 6.028
angles: 90.00 90.00 90.00
Fractional positions:
Cs (0.000, 0.500, 0.000)
Cs (0.500, 0.000, 0.000)
K (0.000, 0.000, 0.500)
Na (0.500, 0.500, 0.500)
Cu (0.500, 0.500, 0.000)

DFT (PBE-GGA) results for an optimized crystal structure of Cs2KNaCu.

Summary:
Its space-group type is No. 123. Its crystal system is tetragonal. Its density is 1.97 g cm⁻³. Its density of states at the Fermi level is 4.76 states/eV/f.u. The formation enthalpy at 0 K is 20.7 kJ/mol of atoms. As for the spin magnetization: 0.05 Bohr magnetons per cell. For the total energy, the calculation gives -1.4295 eV per atom.

abc: 7.061 7.061 6.601
angles: 90.00 90.00 90.00
Fractional positions:
Cs (0.000, 0.500, 0.000)
Cs (0.500, 0.000, 0.000)
K (0.000, 0.000, 0.500)
Na (0.500, 0.500, 0.500)
Cu (0.000, 0.000, 0.000)

DFT (PBE-GGA) results for an optimized crystal structure of CsK2NaCu.

Summary:
Its space-group type is No. 123. Its crystal system is tetragonal. Its density is 1.82 g cm⁻³. Its polymorph energy (0 for the lowest one) is 0 meV per atom. Its density of states at the Fermi level is 2.06 states/eV/f.u. The formation enthalpy at 0 K is 20.7 kJ/mol of atoms. As for the spin magnetization: 0.00 Bohr magnetons per cell. For the total energy, the calculation gives -1.4781 eV per atom.

abc: 6.694 6.694 6.075
angles: 90.00 90.00 90.00
Fractional positions:
Cs (0.000, 0.000, 0.000)
K (0.000, 0.500, 0.500)
K (0.500, 0.000, 0.500)
Na (0.500, 0.500, 0.000)
Cu (0.500, 0.500, 0.500)

DFT (PBE-GGA) results for an optimized crystal structure of Cs2KCuO2.

Summary:
Its space-group type is No. 58. Its crystal system is orthorhombic. Its density is 4.21 g cm⁻³. The calculation puts the formation energy (no corrections) at -974 meV per atom. As for the spin magnetization: 0.00 Bohr magnetons per cell. For the total energy, the calculation gives -3.7768 eV per atom.

abc: 6.296 11.309 4.439
angles: 90.00 90.00 90.00
Fractional positions:
Cs (0.098, 0.239, 0.000)
Cs (0.402, 0.739, 0.500)
Cs (0.598, 0.261, 0.500)
Cs (0.902, 0.761, 0.000)
K (0.000, 0.500, 0.500)
K (0.500, 0.000, 0.000)
Cu (0.000, 0.000, 0.500)
Cu (0.500, 0.500, 0.000)
O (0.236, 0.093, 0.500)
O (0.264, 0.593, 0.000)
O (0.736, 0.407, 0.000)
O (0.764, 0.907, 0.500)

DFT (PBE-GGA) results for an optimized crystal structure of Cs4K2CuSi2O8.

Summary:
Its space-group type is No. 136. Its crystal system is tetragonal. Its density is 4.09 g cm⁻³. The calculation puts the formation energy (no corrections) at -1956 meV per atom. As for the spin magnetization: 2.00 Bohr magnetons per cell. For the total energy, the calculation gives -5.4979 eV per atom.

abc: 10.616 10.616 6.182
angles: 90.00 90.00 90.00
Fractional positions:
Cs (0.114, 0.361, 0.000)
Cs (0.139, 0.614, 0.500)
Cs (0.361, 0.114, 0.000)
Cs (0.386, 0.861, 0.500)
Cs (0.614, 0.139, 0.500)
Cs (0.639, 0.886, 0.000)
Cs (0.861, 0.386, 0.500)
Cs (0.886, 0.639, 0.000)
K (0.104, 0.896, 0.000)
K (0.396, 0.396, 0.500)
K (0.604, 0.604, 0.500)
K (0.896, 0.104, 0.000)
Cu (0.000, 0.000, 0.500)
Cu (0.500, 0.500, 0.000)
Si (0.176, 0.176, 0.500)
Si (0.324, 0.676, 0.000)
Si (0.676, 0.324, 0.000)
Si (0.824, 0.824, 0.500)
O (0.102, 0.102, 0.293)
O (0.102, 0.102, 0.707)
O (0.148, 0.328, 0.500)
O (0.172, 0.648, 0.000)
O (0.328, 0.148, 0.500)
O (0.352, 0.828, 0.000)
O (0.398, 0.602, 0.207)
O (0.398, 0.602, 0.793)
O (0.602, 0.398, 0.207)
O (0.602, 0.398, 0.793)
O (0.648, 0.172, 0.000)
O (0.672, 0.852, 0.500)
O (0.828, 0.352, 0.000)
O (0.852, 0.672, 0.500)
O (0.898, 0.898, 0.293)
O (0.898, 0.898, 0.707)